# Be2Fe2Mo, optimized geometry, DFT PBE-GGA
data_Be2Fe2Mo
_chemical_formula_sum 'Be4 Fe4 Mo2'
_space_group_name_H-M_alt 'P 4/m b m'
_space_group_IT_number 127
_space_group_name_Hall '-P 4 2ab'
_cell_length_a 6.306
_cell_length_b 6.306
_cell_length_c 2.681
_cell_angle_alpha 90.00
_cell_angle_beta 90.00
_cell_angle_gamma 90.00
loop_
_atom_site_label
_atom_site_type_symbol
_atom_site_fract_x
_atom_site_fract_y
_atom_site_fract_z
Be1 Be 0.152 0.348 0.000
Fe1 Fe 0.142 0.642 0.500
Mo1 Mo 0.000 0.000 0.500
# - M_tot: 0.5 μB/f.u.
# - Energy of formation from the pure elements: 143.1 meV/atom
# - Energy above the lowest structure with this stoichiometry: 194 meV per atom
# - Density: 7.029 g/cm3
# - VASP energy: -6.90 eV per atom



# Be2FeMo, optimized geometry, DFT PBE-GGA
data_Be2FeMo
_chemical_formula_sum 'Be8 Fe4 Mo4'
_space_group_name_H-M_alt 'F -4 3 m'
_space_group_IT_number 216
_space_group_name_Hall 'F -4 2 3'
_cell_length_a 5.555
_cell_length_b 5.555
_cell_length_c 5.555
_cell_angle_alpha 90.00
_cell_angle_beta 90.00
_cell_angle_gamma 90.00
loop_
_atom_site_label
_atom_site_type_symbol
_atom_site_fract_x
_atom_site_fract_y
_atom_site_fract_z
Be1 Be 0.000 0.000 0.000
Be2 Be 0.250 0.250 0.250
Fe1 Fe 0.000 0.000 0.500
Mo1 Mo 0.250 0.250 0.750
# - M_tot: 0.0 μB/f.u.
# - Energy of formation from the pure elements: -100.2 meV/atom
# - Energy above the lowest structure with this stoichiometry: 0 meV per atom
# - Density: 6.580 g/cm3
# - VASP energy: -6.79 eV per atom



# BeFe2Mo, optimized geometry, DFT PBE-GGA
data_BeFe2Mo
_chemical_formula_sum 'Be2 Fe4 Mo2'
_space_group_name_H-M_alt 'C 1 2/m 1'
_space_group_IT_number 12
_cell_length_a 4.975
_cell_length_b 8.125
_cell_length_c 2.530
_cell_angle_alpha 90.00
_cell_angle_beta 111.33
_cell_angle_gamma 90.00
loop_
_space_group_symop_operation_xyz
'x,y,z'
'-x,-y,-z'
'-x,y,-z'
'x,-y,z'
'x+1/2,y+1/2,z'
'-x+1/2,-y+1/2,-z'
'-x+1/2,y+1/2,-z'
'x+1/2,-y+1/2,z'
loop_
_atom_site_label
_atom_site_type_symbol
_atom_site_fract_x
_atom_site_fract_y
_atom_site_fract_z
Be1 Be 0.000 0.000 0.000
Fe1 Fe 0.250 0.250 0.500
Mo1 Mo 0.000 0.500 0.000
# - M_tot: 3.4 μB/f.u.
# - Energy of formation from the pure elements: 140.6 meV/atom
# - Density: 7.553 g/cm3
# - VASP energy: -7.73 eV per atom



# Be2FeMo2, optimized geometry, DFT PBE-GGA
data_Be2FeMo2
_chemical_formula_sum 'Be4 Fe2 Mo4'
_space_group_name_H-M_alt 'P 4/m b m'
_space_group_IT_number 127
_space_group_name_Hall '-P 4 2ab'
_cell_length_a 5.980
_cell_length_b 5.980
_cell_length_c 3.246
_cell_angle_alpha 90.00
_cell_angle_beta 90.00
_cell_angle_gamma 90.00
loop_
_atom_site_label
_atom_site_type_symbol
_atom_site_fract_x
_atom_site_fract_y
_atom_site_fract_z
Be1 Be 0.121 0.379 0.000
Fe1 Fe 0.000 0.000 0.000
Mo1 Mo 0.178 0.678 0.500
# - M_tot: 2.1 μB/f.u.
# - Energy of formation from the pure elements: -122.4 meV/atom
# - Density: 7.603 g/cm3
# - VASP energy: -7.64 eV per atom



# BeFeMo2, optimized geometry, DFT PBE-GGA
data_BeFeMo2
_chemical_formula_sum 'Be4 Fe4 Mo8'
_space_group_name_H-M_alt 'I -4 2 d'
_space_group_IT_number 122
_space_group_name_Hall 'I -4 2bw'
_cell_length_a 6.536
_cell_length_b 6.536
_cell_length_c 5.127
_cell_angle_alpha 90.00
_cell_angle_beta 90.00
_cell_angle_gamma 90.00
loop_
_atom_site_label
_atom_site_type_symbol
_atom_site_fract_x
_atom_site_fract_y
_atom_site_fract_z
Be1 Be 0.000 0.000 0.000
Fe1 Fe 0.000 0.000 0.500
Mo1 Mo 0.244 0.250 0.625
# - M_tot: 1.0 μB/f.u.
# - Energy of formation from the pure elements: 595.5 meV/atom
# - Density: 7.787 g/cm3
# - VASP energy: -7.87 eV per atom



# Be9Fe2Mo, optimized geometry, DFT PBE-GGA
data_Be9Fe2Mo
_chemical_formula_sum 'Be27 Fe6 Mo3'
_space_group_name_H-M_alt 'R -3 m'
_space_group_IT_number 166
_space_group_name_Hall '-R 3 2"'
_cell_length_a 4.2573
_cell_length_b 4.2573
_cell_length_c 20.2240
_cell_angle_alpha 90.00
_cell_angle_beta 90.00
_cell_angle_gamma 120.00
loop_
_atom_site_label
_atom_site_type_symbol
_atom_site_fract_x
_atom_site_fract_y
_atom_site_fract_z
Be1 Be 0.0000 0.0000 0.0000
Be2 Be 0.0000 0.0000 0.1662
Be3 Be 0.0041 0.5021 0.4155
Fe1 Fe 0.0000 0.0000 0.3548
Mo1 Mo 0.0000 0.0000 0.5000
# - M_tot: 4.2 μB/f.u.
# - Energy of formation from the pure elements: -205.5 meV/atom
# - Density: 4.531 g/cm3
# - VASP energy: -5.31 eV per atom



# BeFeMo2, optimized geometry, DFT PBE-GGA
data_BeFeMo2
_chemical_formula_sum 'Be2 Fe2 Mo4'
_space_group_name_H-M_alt 'C 1 m 1'
_space_group_IT_number 8
_cell_length_a 9.212
_cell_length_b 2.622
_cell_length_c 4.423
_cell_angle_alpha 90.00
_cell_angle_beta 107.34
_cell_angle_gamma 90.00
loop_
_space_group_symop_operation_xyz
'x,y,z'
'x,-y,z'
'x+1/2,y+1/2,z'
'x+1/2,-y+1/2,z'
loop_
_atom_site_label
_atom_site_type_symbol
_atom_site_fract_x
_atom_site_fract_y
_atom_site_fract_z
Be1 Be 0.000 0.000 0.000
Fe1 Fe 0.304 0.000 0.696
Mo1 Mo 0.040 0.500 0.517
Mo2 Mo 0.249 0.500 0.157
# - M_tot: 1.2 μB/f.u.
# - Energy of formation from the pure elements: 150.6 meV/atom
# - Density: 8.359 g/cm3
# - VASP energy: -8.31 eV per atom



# BeFeMo2, optimized geometry, DFT PBE-GGA
data_BeFeMo2
_chemical_formula_sum 'Be2 Fe2 Mo4'
_space_group_name_H-M_alt 'I m m m'
_space_group_IT_number 71
_space_group_name_Hall '-I 2 2'
_cell_length_a 3.162
_cell_length_b 4.094
_cell_length_c 8.058
_cell_angle_alpha 90.00
_cell_angle_beta 90.00
_cell_angle_gamma 90.00
loop_
_atom_site_label
_atom_site_type_symbol
_atom_site_fract_x
_atom_site_fract_y
_atom_site_fract_z
Be1 Be 0.000 0.000 0.000
Fe1 Fe 0.000 0.000 0.500
Mo1 Mo 0.000 0.500 0.251
# - M_tot: 1.3 μB/f.u.
# - Energy of formation from the pure elements: 109.5 meV/atom
# - Density: 8.174 g/cm3
# - VASP energy: -8.35 eV per atom